Record 1
{"formula": "AlSbBr2", "functional": "PBE-GGA", "state": "relaxed", "energy_ev_per_cell": -11.2, "formation_energy_uncorrected_ev_per_atom": 0.009, "space_group": "Pmmm (47)", "vol_a3_per_cell": 103.66, "cell": [[-1.546, -2.040, 2.487], [-0.234, -4.631, -3.945], [4.296, -1.467, 1.468]], "species": ["Sb", "Br", "Br", "Al"], "fractional_positions": [[0.500, 0.000, 0.500], [0.500, 0.500, 0.000], [0.000, 0.000, 0.000], [0.000, 0.500, 0.500]]}

Record 2
{"formula": "HfHgSb2I", "functional": "PBE-GGA", "state": "relaxed", "energy_ev_per_cell": -14.8, "formation_energy_uncorrected_ev_per_atom": 1.046, "space_group": "P4/mmm (123)", "vol_a3_per_cell": 168.09, "cell": [[-3.350, -2.995, 3.072], [4.261, -2.781, 1.935], [0.526, 3.747, 4.226]], "species": ["Sb", "I", "Hg", "Hf", "Sb"], "fractional_positions": [[0.500, 0.000, 0.000], [0.000, 0.000, 0.500], [0.000, 0.000, 0.000], [0.500, 0.500, 0.500], [0.000, 0.500, 0.000]]}